## Be2RePd (PBE)

Data for a geometry-optimized Be2RePd structure.

a b c (Å): 6.048 6.048 5.377
angles (deg): 90.00 90.00 90.00
Space group I-42d (No. 122)
One atom of each set of equivalent atoms:
Be 0.238 0.250 0.125 x8
Re 0.000 0.000 0.500 x4
Pd 0.000 0.000 0.000 x4

Properties
Fermi-level density of states = 1.065 states/eV/atom
Theoretical density = 10.5 g cm⁻³
Calculated formation energy = 318 meV/atom